A plane-wave DFT calculation with GGA-PBE was carried out for a relaxed structure of Ti2InAg.

```
4
Lattice="-0.9372 -3.3084 -2.2211 2.5923 -1.3394 -2.8711 4.0672 -6.1018 3.6005" Properties=species:S:1:pos:R:3 pbc="T T T"
Ti 2.7812 -4.4365 1.6625
Ti 2.9411 -6.3131 -3.1542
Ag 2.8611 -5.3748 -0.7458
In 0.0000 0.0000 0.0000
```

Space group ... R-3m (166)
Density of states at the Fermi level ... 5.3 states/eV per cell
ΔH_f (0 K) ... 0.92 eV per atom

A plane-wave DFT calculation with GGA-PBE was carried out for a relaxed structure of Na2CdGe2.

```
10
Lattice="8.5931 0.0000 0.0000 0.0000 8.5931 0.0000 0.0000 0.0000 3.1989" Properties=species:S:1:pos:R:3 pbc="T T T"
Na 1.6782 5.9748 1.5995
Na 5.9748 6.9149 1.5995
Na 6.9149 2.6184 1.5995
Na 2.6184 1.6782 1.5995
Ge 3.4354 7.7320 0.0000
Ge 7.7320 5.1577 0.0000
Ge 5.1577 0.8612 0.0000
Ge 0.8612 3.4354 0.0000
Cd 0.0000 0.0000 0.0000
Cd 4.2966 4.2966 0.0000
```

Space group ... P4/mbm (127)
E above lowest polymorph ... 101 meV per atom
Density of states at the Fermi level ... 3.4 states/eV per cell
ΔH_f (0 K) ... 0.02 eV per atom

A plane-wave DFT calculation with GGA-PBE was carried out for a relaxed structure of ZnGaPt.

```
3
Lattice="-1.5263 2.4718 0.1503 -3.3328 -2.1625 1.7195 3.0285 1.7134 2.5755" Properties=species:S:1:pos:R:3 pbc="T T T"
Zn 0.4000 1.2442 2.3402
Ga -1.2718 2.0597 0.1253
Pt -2.4851 1.1906 2.1302
```

Space group ... P-6m2 (187)
Density of states at the Fermi level ... 0.7 states/eV per cell
ΔH_f (0 K) ... -0.36 eV per atom

A plane-wave DFT calculation with GGA-PBE was carried out for a relaxed structure of LaPmHoLu.

```
4
Lattice="5.7346 0.0000 0.0000 2.8673 4.9664 0.0000 2.8673 1.6555 4.6823" Properties=species:S:1:pos:R:3 pbc="T T T"
Lu 5.7346 3.3109 2.3412
Pm 8.6020 4.9664 3.5117
Ho 0.0000 0.0000 0.0000
La 2.8673 1.6555 1.1706
```

Space group ... F-43m (216)
Density of states at the Fermi level ... 6.6 states/eV per cell
ΔH_f (0 K) ... 0.09 eV per atom

A plane-wave DFT calculation with GGA-PBE was carried out for a relaxed structure of Ce2PrScBi4.

```
8
Lattice="-0.7071 -2.7842 3.5108 6.4134 -4.0848 -1.9476 6.2546 3.0321 3.6643" Properties=species:S:1:pos:R:3 pbc="T T T"
Ce 2.7737 0.1240 3.5876
Ce 6.3340 -0.5264 0.8583
Pr 0.0000 0.0000 0.0000
Sc 2.8531 -3.4345 0.7816
Bi 5.9274 -3.6672 1.2162
Bi 6.0335 -0.1697 4.0113
Bi 9.4784 -0.6873 1.3641
Bi 3.1896 -0.3654 0.3526
```

Space group ... P2/m (10)
Density of states at the Fermi level ... 14.6 states/eV per cell
ΔH_f (0 K) ... -0.78 eV per atom

A plane-wave DFT calculation with GGA-PBE was carried out for a relaxed structure of TaMo3Ir4.

```
16
Lattice="-1.2769 -2.7830 3.7438 4.4396 1.8424 2.8838 -4.9672 6.7579 3.3294" Properties=species:S:1:pos:R:3 pbc="T T T"
Mo 0.0000 0.0000 0.0000
Mo -2.4836 3.3790 1.6647
Mo -4.5745 3.2178 4.9866
Mo -1.6696 0.7571 2.0866
Mo -2.3384 4.1745 6.3808
Mo 0.5339 1.6428 3.5763
Ir 2.7052 -0.0039 4.0438
Ir 0.2216 3.3750 5.7085
Ir 0.4575 -0.9367 2.5838
Ir -2.0261 2.4423 4.2485
Ir -0.5827 6.0232 5.2476
Ir 1.0200 0.7244 6.1655
Ir -1.2217 -0.2059 4.7094
Ir -2.8245 5.0929 3.7915
Ta 2.2198 0.9212 1.4419
Ta -0.2638 4.3002 3.1066
```

Space group ... Pmma (51)
Density of states at the Fermi level ... 11.1 states/eV per cell
ΔH_f (0 K) ... -0.38 eV per atom